(1)
Mg4PtAu | PBE | relaxed Values from VASP.

The density of states at the Fermi level is 0.27 states/eV per atom. The crystal system is tetragonal. The value obtained for the energy above the most stable polymorph in this dataset is 0 meV/atom. The value obtained for the formation energy from the elements is -53 kJ per mole of atoms.

Geometry as Quantum ESPRESSO input:
```
&SYSTEM
  ibrav = 0, nat = 6, ntyp = 3
/
ATOMIC_SPECIES
Mg 24.30 Mg.upf
Pt 195.08 Pt.upf
Au 196.97 Au.upf
ATOMIC_POSITIONS angstrom
Mg 5.351 0.327 4.310
Mg 2.523 -0.528 1.034
Mg 3.088 -1.690 3.943
Mg 4.785 1.489 1.401
Pt 4.968 -1.147 2.055
Au 5.267 3.045 3.671
CELL_PARAMETERS angstrom
-1.495 0.927 4.144
2.626 -3.251 1.674
4.719 4.206 0.763
```

(2)
TaSi2MoPb | PBE | relaxed Values from VASP.

The density of states at the Fermi level is 0.66 states/eV per atom. The crystal system is tetragonal. The calculation puts the uncorrected formation energy at 1.35 eV per atom.

Geometry as Quantum ESPRESSO input:
```
&SYSTEM
  ibrav = 0, nat = 5, ntyp = 4
/
ATOMIC_SPECIES
Mo 95.94 Mo.upf
Si 28.09 Si.upf
Ta 180.95 Ta.upf
Pb 207.20 Pb.upf
ATOMIC_POSITIONS angstrom
Mo 2.443 2.717 2.443
Si 2.443 0.000 0.000
Si 0.000 0.000 2.443
Ta 0.000 0.000 0.000
Pb 0.000 2.717 0.000
CELL_PARAMETERS angstrom
4.885 0.000 0.000
0.000 5.434 0.000
0.000 0.000 4.885
```

(3)
AgBiTeN2 | PBE | relaxed Values from VASP.

The density of states at the Fermi level is 0.84 states/eV per atom. The crystal system is tetragonal. The calculation puts the uncorrected formation energy at 1.51 eV per atom. The value obtained for the energy above the most stable polymorph in this dataset is 0 meV/atom.

Geometry as Quantum ESPRESSO input:
```
&SYSTEM
  ibrav = 0, nat = 5, ntyp = 4
/
ATOMIC_SPECIES
Te 127.60 Te.upf
Ag 107.87 Ag.upf
Bi 208.98 Bi.upf
N 14.01 N.upf
ATOMIC_POSITIONS angstrom
Te 0.000 0.000 3.214
Ag 2.184 2.184 3.214
Bi 0.000 0.000 0.000
N 2.184 0.000 0.000
N 0.000 2.184 0.000
CELL_PARAMETERS angstrom
4.368 0.000 0.000
0.000 4.368 0.000
0.000 0.000 6.429
```

(4)
LaIn5Hg8 | PBE | relaxed Values from VASP.

The density of states at the Fermi level is 0.52 states/eV per atom. The crystal system is tetragonal. The value obtained for the formation energy from the elements is -8 kJ per mole of atoms.

Geometry as Quantum ESPRESSO input:
```
&SYSTEM
  ibrav = 0, nat = 14, ntyp = 3
/
ATOMIC_SPECIES
Hg 200.59 Hg.upf
In 114.82 In.upf
La 138.91 La.upf
ATOMIC_POSITIONS angstrom
Hg 2.598 1.418 2.994
Hg 1.073 5.525 3.785
Hg 1.103 5.928 -0.323
Hg 4.283 2.636 -0.550
Hg 0.443 -0.127 5.651
Hg 0.640 2.278 0.414
Hg 4.321 5.181 -3.308
Hg -1.506 2.875 4.420
In -1.158 6.400 -2.328
In 1.776 3.525 -2.303
In -0.390 0.574 2.741
In 5.244 1.710 4.500
In 2.782 4.173 1.627
La -1.262 4.666 1.635
CELL_PARAMETERS angstrom
7.538 0.622 -2.302
-3.986 6.428 -2.303
-0.314 -0.622 7.875
```

(5)
CdTe2Rh | PBE | relaxed Values from VASP.

The density of states at the Fermi level is 0.38 states/eV per atom. The crystal system is monoclinic. The calculation puts the uncorrected formation energy at -0.18 eV per atom.

Geometry as Quantum ESPRESSO input:
```
&SYSTEM
  ibrav = 0, nat = 4, ntyp = 3
/
ATOMIC_SPECIES
Te 127.60 Te.upf
Cd 112.41 Cd.upf
Rh 102.91 Rh.upf
ATOMIC_POSITIONS angstrom
Te -0.301 -1.904 3.754
Te 1.185 0.236 6.212
Cd -0.266 -2.811 6.586
Rh -1.021 -4.875 8.163
CELL_PARAMETERS angstrom
-3.020 -2.855 3.102
0.322 -4.516 2.527
1.457 0.681 6.509
```

(6)
Ca3YTm3S8 | PBE | relaxed Values from VASP.

The density of states at the Fermi level is 0.29 states/eV per atom. The crystal system is trigonal. The calculation puts the uncorrected formation energy at -2.08 eV per atom.

Geometry as Quantum ESPRESSO input:
```
&SYSTEM
  ibrav = 0, nat = 15, ntyp = 4
/
ATOMIC_SPECIES
Ca 40.08 Ca.upf
Tm 168.93 Tm.upf
S 32.06 S.upf
Y 88.91 Y.upf
ATOMIC_POSITIONS angstrom
Ca 0.908 -3.268 1.929
Ca 1.041 -3.203 -1.970
Ca 0.000 0.000 0.000
Tm 2.337 3.031 4.034
Tm 3.510 -0.108 -1.835
Tm 3.378 -0.173 2.064
S 5.636 -1.811 -1.775
S 4.480 1.323 4.079
S 2.275 -1.668 0.050
S 1.250 1.530 2.036
S 5.505 -1.875 2.092
S 1.119 1.466 5.903
S 4.605 1.366 0.179
S 2.151 -1.711 3.949
Y 2.469 3.095 0.135
CELL_PARAMETERS angstrom
-0.265 -0.129 7.798
2.081 -6.406 -3.940
4.939 6.191 0.270
```

(7)
Sm8ThSc5 | PBE | relaxed Values from VASP.

The density of states at the Fermi level is 1.51 states/eV per atom. The crystal system is tetragonal. The value obtained for the formation energy from the elements is 28 kJ per mole of atoms.

Geometry as Quantum ESPRESSO input:
```
&SYSTEM
  ibrav = 0, nat = 14, ntyp = 3
/
ATOMIC_SPECIES
Sc 44.96 Sc.upf
Sm 150.36 Sm.upf
Th 232.04 Th.upf
ATOMIC_POSITIONS angstrom
Sc 2.865 3.868 1.170
Sc 7.063 1.754 1.024
Sc 0.086 -1.514 1.648
Sc -3.207 1.265 6.820
Sc 2.050 2.213 5.494
Sm 1.841 1.088 2.222
Sm 1.727 -3.599 3.959
Sm 2.842 6.682 2.571
Sm -1.754 -3.156 4.084
Sm 0.255 4.090 3.121
Sm -0.834 0.420 4.364
Sm 3.063 -0.896 6.109
Sm 4.843 2.807 3.543
Th 4.204 -0.884 3.114
CELL_PARAMETERS angstrom
-2.546 7.495 2.434
-2.735 -5.877 5.154
8.277 0.241 -0.094
```

(8)
Ho7BCl12 | PBE | relaxed Values from VASP.

The density of states at the Fermi level is 0.55 states/eV per atom. The crystal system is trigonal. The calculation puts the uncorrected formation energy at -1.89 eV per atom.

Geometry as Quantum ESPRESSO input:
```
&SYSTEM
  ibrav = 0, nat = 20, ntyp = 3
/
ATOMIC_SPECIES
Cl 35.45 Cl.upf
B 10.81 B.upf
Ho 164.93 Ho.upf
ATOMIC_POSITIONS angstrom
Cl 6.460 2.071 3.588
Cl 4.812 4.386 0.931
Cl 3.286 1.061 1.752
Cl 1.505 6.130 1.848
Cl 4.899 1.555 -1.607
Cl -0.108 5.636 5.208
Cl 1.505 0.432 5.152
Cl 3.286 6.759 -1.552
Cl -1.669 5.120 0.013
Cl 3.187 3.749 4.363
Cl 1.604 3.442 -0.762
Cl -0.021 2.805 2.670
B 0.000 0.000 0.000
Ho -0.803 2.363 0.065
Ho 5.594 4.828 3.536
Ho 2.395 3.595 1.800
Ho 2.243 0.762 -0.789
Ho 2.548 6.429 4.390
Ho 4.036 7.022 1.227
Ho 0.755 0.169 2.374
CELL_PARAMETERS angstrom
8.219 -0.165 -2.494
-3.318 7.521 -2.494
-0.110 -0.165 8.588
```

(9)
PuHgIrO6 | PBE | relaxed Values from VASP.

The density of states at the Fermi level is 0.54 states/eV per atom. The crystal system is trigonal. The calculation puts the uncorrected formation energy at -1.37 eV per atom.

Geometry as Quantum ESPRESSO input:
```
&SYSTEM
  ibrav = 0, nat = 18, ntyp = 4
/
ATOMIC_SPECIES
Hg 200.59 Hg.upf
O 16.00 O.upf
Ir 192.22 Ir.upf
Pu 244.00 Pu.upf
ATOMIC_POSITIONS angstrom
Hg 5.073 -0.244 1.227
Hg 0.000 0.000 0.000
O 6.333 -2.159 1.900
O 1.877 0.449 -1.409
O 2.496 -0.305 -4.117
O 6.444 -4.857 0.905
O 4.456 0.800 -2.281
O 6.977 -2.649 -0.862
O 4.567 -1.898 -3.276
O 8.405 -3.752 2.740
O 1.924 -2.331 -2.155
O 3.923 -1.408 -0.515
O 9.023 -4.505 0.032
O 8.976 -1.726 0.778
Ir 7.693 -3.275 0.915
Ir 3.207 -0.782 -2.292
Pu 8.280 -1.026 -1.065
Pu 2.620 -3.031 -0.311
CELL_PARAMETERS angstrom
-0.503 -5.159 1.056
1.258 1.589 -4.886
10.146 -0.487 2.453
```

(10)
ReNCl2 | PBE | relaxed Values from VASP.

The density of states at the Fermi level is 1.11 states/eV per atom. The crystal system is tetragonal. The calculation puts the uncorrected formation energy at 1.91 eV per atom. The value obtained for the energy above the most stable polymorph in this dataset is 498 meV/atom.

Geometry as Quantum ESPRESSO input:
```
&SYSTEM
  ibrav = 0, nat = 8, ntyp = 3
/
ATOMIC_SPECIES
Cl 35.45 Cl.upf
Re 186.21 Re.upf
N 14.01 N.upf
ATOMIC_POSITIONS angstrom
Cl 1.435 4.498 0.945
Cl 4.498 4.434 2.836
Cl 4.563 1.499 0.945
Cl 7.497 7.562 2.836
Re 5.998 2.999 1.890
Re 0.000 0.000 0.000
N 2.999 5.998 1.890
N 2.999 2.999 0.000
CELL_PARAMETERS angstrom
5.998 0.000 0.000
0.000 5.998 0.000
2.999 2.999 3.781
```

(11)
La2MnAl | PBE | relaxed Values from VASP.

The density of states at the Fermi level is 1.12 states/eV per atom. The crystal system is monoclinic. The value obtained for the formation energy from the elements is 26 kJ per mole of atoms.

Geometry as Quantum ESPRESSO input:
```
&SYSTEM
  ibrav = 0, nat = 4, ntyp = 3
/
ATOMIC_SPECIES
La 138.91 La.upf
Al 26.98 Al.upf
Mn 54.94 Mn.upf
ATOMIC_POSITIONS angstrom
La -2.396 -2.462 9.453
La 1.132 -0.024 6.362
Al 0.573 -0.007 3.179
Mn 1.720 -0.022 9.537
CELL_PARAMETERS angstrom
-2.138 0.333 4.900
-0.272 -2.804 4.557
4.704 2.442 3.259
```

(12)
LiFeI3 | PBE | relaxed Values from VASP.

The density of states at the Fermi level is 1.18 states/eV per atom. The crystal system is cubic. The calculation puts the uncorrected formation energy at -0.18 eV per atom. The value obtained for the energy above the most stable polymorph in this dataset is 331 meV/atom.

Geometry as Quantum ESPRESSO input:
```
&SYSTEM
  ibrav = 0, nat = 5, ntyp = 3
/
ATOMIC_SPECIES
I 126.90 I.upf
Li 6.94 Li.upf
Fe 55.84 Fe.upf
ATOMIC_POSITIONS angstrom
I 0.000 0.000 2.804
I 2.804 0.000 0.000
I 0.000 2.804 0.000
Li 2.804 2.804 2.804
Fe 0.000 0.000 0.000
CELL_PARAMETERS angstrom
5.608 0.000 0.000
0.000 5.608 0.000
0.000 0.000 5.608
```